This record from Alexandria via LeMat-Bulk describes an optimized crystal structure of Cs2KInI4. The functional is PBE.

a = 5.282 Å, b = 9.162 Å, c = 9.129 Å
α = 70.58°, β = 90.00°, γ = 90.00°
Element x y z (fractional)
I  0.500  0.276  0.743
I  0.500  0.724  0.257
I  0.000  0.723  0.761
I  0.000  0.277  0.239
Cs  0.000  0.000  0.000
Cs  0.500  0.000  0.500
K  0.000  0.500  0.500
In  0.500  0.500  0.000

Raw formation energy = -1.25 eV/atom



This record from Alexandria via LeMat-Bulk describes an optimized crystal structure of LiPm5Pb6. The functional is PBE.

a = 4.936 Å, b = 10.364 Å, c = 9.310 Å
α = 56.18°, β = 74.60°, γ = 61.51°
Element x y z (fractional)
Pm  0.500  0.847  0.306
Pm  0.500  0.153  0.694
Pm  0.000  0.667  0.667
Pm  0.500  0.500  0.000
Pm  0.000  0.333  0.333
Pb  0.254  0.246  0.000
Pb  0.751  0.082  0.335
Pb  0.249  0.584  0.335
Pb  0.249  0.918  0.665
Pb  0.746  0.754  0.000
Pb  0.751  0.416  0.665
Li  0.000  0.000  0.000

Formation enthalpy at 0 K = -476 meV/atom



This record from Alexandria via LeMat-Bulk describes an optimized crystal structure of InRe2BiSb. The functional is PBE.

a = 4.977 Å, b = 5.452 Å, c = 4.977 Å
α = 90.00°, β = 90.00°, γ = 90.00°
Element x y z (fractional)
Bi  0.500  0.500  0.500
Re  0.000  0.000  0.500
Re  0.500  0.000  0.000
In  0.000  0.500  0.000
Sb  0.000  0.000  0.000

E above lowest polymorph = 0.0 meV/atom
Raw formation energy = 1.93 eV/atom



This record from Alexandria via LeMat-Bulk describes an optimized crystal structure of SrTc3I. The functional is PBE.

a = 4.933 Å, b = 4.933 Å, c = 4.933 Å
α = 90.00°, β = 90.00°, γ = 90.00°
Element x y z (fractional)
Tc  0.000  0.500  0.000
Tc  0.000  0.000  0.500
Tc  0.500  0.000  0.000
I  0.000  0.000  0.000
Sr  0.500  0.500  0.500

E above lowest polymorph = 0.0 meV/atom
Raw formation energy = 1.48 eV/atom



Per-record final energy, eV per atom: -2.717; -4.469; -5.201; -5.390
Per-record Fermi-level density of states, states/eV per cell: 0.00; 8.60; 5.29; 4.96